This record from Alexandria via LeMat-Bulk describes a geometry-optimized Ce2NpGe4Ir3 structure. The functional is PBE-GGA.

Results
SG: P-4m2
Crystal system: tetragonal
Calculated formation energy: -558 kJ/mol of formula units
E_tot: -7.56 eV/atom

abc: 4.237 4.237 11.248
angles: 90.00 90.00 90.00
Atoms (fractional coordinates):
1 Ce 0.500 0.000 0.233
2 Ce 0.000 0.500 0.767
3 Np 0.500 0.500 0.500
4 Ge 0.500 0.500 0.000
5 Ge 0.000 0.000 0.000
6 Ge 0.500 0.000 0.669
7 Ge 0.000 0.500 0.331
8 Ir 0.000 0.000 0.500
9 Ir 0.500 0.000 0.884
10 Ir 0.000 0.500 0.116

=====

This record from Alexandria via LeMat-Bulk describes a geometry-optimized EuErRh structure. The functional is PBE-GGA.

Results
SG: I4mm
Energy above the most stable polymorph in this dataset: 0.000 eV per formula unit
Crystal system: tetragonal
Calculated formation energy: -140 kJ/mol of formula units
E_tot: -7.88 eV/atom

abc: 3.467 3.467 6.999
angles: 104.34 104.34 90.00
Atoms (fractional coordinates):
1 Eu 0.030 0.030 0.060
2 Rh 0.680 0.680 0.361
3 Er 0.290 0.290 0.579

=====

This record from Alexandria via LeMat-Bulk describes a geometry-optimized GdErInPt structure. The functional is PBE-GGA.

Results
SG: F-43m
Crystal system: cubic
Calculated formation energy: -287 kJ/mol of formula units
E_tot: -7.60 eV/atom

abc: 5.133 5.133 5.133
angles: 60.00 60.00 60.00
Atoms (fractional coordinates):
1 Gd 0.000 0.000 0.000
2 In 0.250 0.250 0.250
3 Pt 0.750 0.750 0.750
4 Er 0.500 0.500 0.500

=====

This record from Alexandria via LeMat-Bulk describes a geometry-optimized NiIrBr3 structure. The functional is PBE-GGA.

Results
SG: Pm-3m
Energy above the most stable polymorph in this dataset: 0.000 eV per formula unit
Crystal system: cubic
E_tot: -3.15 eV/atom

abc: 5.076 5.076 5.076
angles: 90.00 90.00 90.00
Atoms (fractional coordinates):
1 Ni 0.500 0.500 0.500
2 Ir 0.000 0.000 0.000
3 Br 0.000 0.500 0.000
4 Br 0.000 0.000 0.500
5 Br 0.500 0.000 0.000

=====

This record from Alexandria via LeMat-Bulk describes a geometry-optimized Ba2BeP structure. The functional is PBE-GGA.

Results
SG: Cm
Energy above the most stable polymorph in this dataset: 0.372 eV per formula unit
Crystal system: monoclinic
Calculated formation energy: -133 kJ/mol of formula units
E_tot: -3.59 eV/atom

abc: 6.316 6.316 4.889
angles: 97.16 97.16 41.07
Atoms (fractional coordinates):
1 P 0.305 0.305 0.213
2 Ba 0.013 0.013 0.092
3 Ba 0.739 0.739 0.675
4 Be 0.443 0.443 0.520

=====

This record from Alexandria via LeMat-Bulk describes a geometry-optimized Y2ZrIr structure. The functional is PBE-GGA.

Results
SG: Amm2
Energy above the most stable polymorph in this dataset: 0.308 eV per formula unit
Crystal system: orthorhombic
Calculated formation energy: -139 kJ/mol of formula units
E_tot: -7.94 eV/atom

abc: 3.615 4.816 6.439
angles: 68.04 90.00 90.00
Atoms (fractional coordinates):
1 Ir 0.500 0.530 0.814
2 Y 0.000 0.987 0.900
3 Y 0.500 0.296 0.282
4 Zr 0.000 0.686 0.504

=====

This record from Alexandria via LeMat-Bulk describes a geometry-optimized Tm3RuPt structure. The functional is PBE-GGA.

Results
SG: P2_1/c
Crystal system: monoclinic
Calculated formation energy: -361 kJ/mol of formula units
E_tot: -6.49 eV/atom

abc: 7.754 7.577 8.533
angles: 90.00 117.23 90.00
Atoms (fractional coordinates):
1 Tm 0.310 0.027 0.021
2 Tm 0.690 0.973 0.979
3 Tm 0.190 0.527 0.979
4 Tm 0.810 0.473 0.021
5 Tm 0.600 0.383 0.287
6 Tm 0.400 0.617 0.713
7 Tm 0.900 0.883 0.713
8 Tm 0.100 0.117 0.287
9 Tm 0.954 0.725 0.376
10 Tm 0.046 0.275 0.624
11 Tm 0.546 0.225 0.624
12 Tm 0.454 0.775 0.376
13 Ru 0.558 0.686 0.099
14 Ru 0.442 0.314 0.901
15 Ru 0.942 0.186 0.901
16 Ru 0.058 0.814 0.099
17 Pt 0.223 0.469 0.341
18 Pt 0.777 0.531 0.659
19 Pt 0.277 0.969 0.659
20 Pt 0.723 0.031 0.341